Below is a relaxed LaInSi2 crystal, with properties calculated at the GGA-PBEsol level.

a b c (Å): 5.673 5.673 5.673
angles (deg): 136.21 136.21 63.66
Atoms (fractional coordinates):
La: 0.000 0.000 0.000
In: 0.250 0.750 0.500
Si: 0.500 0.500 0.000
Si: 0.750 0.250 0.500

Computed properties:
DFT total energy   -0.38120 Ry/atom



Below is a relaxed K2SnAu2S4 crystal, with properties calculated at the GGA-PBEsol level.

a b c (Å): 7.187 8.165 9.063
angles (deg): 72.12 83.00 69.14
Atoms (fractional coordinates):
K: 0.030 0.255 0.080
K: 0.220 0.184 0.575
K: 0.780 0.816 0.425
K: 0.970 0.745 0.920
Sn: 0.377 0.725 0.192
Sn: 0.623 0.275 0.808
Au: 0.265 0.671 0.580
Au: 0.475 0.281 0.174
Au: 0.525 0.719 0.826
Au: 0.735 0.329 0.420
S: 0.214 0.498 0.253
S: 0.242 0.916 0.367
S: 0.268 0.417 0.779
S: 0.288 0.926 0.932
S: 0.712 0.074 0.068
S: 0.732 0.583 0.221
S: 0.758 0.084 0.633
S: 0.786 0.502 0.747

Computed properties:
DFT total energy   -0.30888 Ry/atom



What did the first record say?
Below is a relaxed LaInSi2 crystal, with properties calculated at the GGA-PBEsol level.

a b c (Å): 5.673 5.673 5.673
angles (deg): 136.21 136.21 63.66
Atoms (fractional coordinates):
La: 0.000 0.000 0.000
In: 0.250 0.750 0.500
Si: 0.500 0.500 0.000
Si: 0.750 0.250 0.500

Computed properties:
DFT total energy   -0.38120 Ry/atom



Which value of DFT total energy does entry 1 give? -0.38120 Ry/atom